Model A:
First-principles (GGA-PBE) data for a geometry-optimized Tb2Pr5In4 structure, as listed in the Alexandria database.

Summary:
N(E_F): 12.80 states/eV/f.u.
Total magnetization: 0.0 μB/f.u.

a b c (Å): 8.859 3.479 10.820
angles (deg): 90.00 95.40 90.00
Space group P2/m (No. 10)
Symmetry-distinct sites (fractional):
Tb 0.081 0.000 0.137
Pr 0.157 0.000 0.641
Pr 0.460 0.000 0.165
Pr 0.500 0.000 0.500
In 0.201 0.500 0.374
In 0.241 0.500 0.923

=====

Model B:
First-principles (GGA-PBE) data for a geometry-optimized Tb2Pr5In4 structure, as listed in the Alexandria database.

Summary:
N(E_F): 12.35 states/eV/f.u.
Total magnetization: 0.0 μB/f.u.

a b c (Å): 3.440 7.764 28.877
angles (deg): 90.00 90.00 90.00
Space group Immm (No. 71)
Symmetry-distinct sites (fractional):
Tb 0.000 0.000 0.215
Pr 0.000 0.235 0.110
Pr 0.000 0.500 0.500
In 0.000 0.000 0.321
In 0.000 0.330 0.000

=====

Which is most stable, and by how much? model A, by 40.9 kJ/mol of atoms.

=====

Model A:
First-principles (GGA-PBE) data for a geometry-optimized TbPr4In structure, as listed in the Alexandria database.

Summary:
N(E_F): 7.73 states/eV/f.u.
Total magnetization: 0.0 μB/f.u.

a b c (Å): 3.680 3.680 14.844
angles (deg): 90.00 90.00 90.00
Space group P4/mmm (No. 123)
Symmetry-distinct sites (fractional):
Tb 0.000 0.000 0.000
Pr 0.000 0.000 0.354
Pr 0.500 0.500 0.172
In 0.500 0.500 0.500

=====

Model B:
First-principles (GGA-PBE) data for a geometry-optimized TbPr4In structure, as listed in the Alexandria database.

Summary:
N(E_F): 11.51 states/eV/f.u.
Total magnetization: 0.0 μB/f.u.

a b c (Å): 11.794 11.794 6.862
angles (deg): 90.00 90.00 90.00
Space group I4_1md (No. 109)
Symmetry-distinct sites (fractional):
Tb 0.000 0.000 0.000
Pr 0.000 0.261 0.536
Pr 0.000 0.270 0.032
In 0.000 0.000 0.504

=====

Which is most stable, and by how much? model A, by 48.6 kJ/mol of atoms.

=====

Model A:
First-principles (GGA-PBE) data for a geometry-optimized Tb2Pr6In structure, as listed in the Alexandria database.

Summary:
N(E_F): 13.61 states/eV/f.u.
Total magnetization: 0.0 μB/f.u.

a b c (Å): 10.950 10.950 5.047
angles (deg): 90.00 90.00 90.00
Space group P4_2/mnm (No. 136)
Symmetry-distinct sites (fractional):
Tb 0.162 0.162 0.000
Pr 0.004 0.668 0.500
Pr 0.158 0.842 0.000
In 0.000 0.000 0.500

=====

Model B:
First-principles (GGA-PBE) data for a geometry-optimized Tb2Pr6In structure, as listed in the Alexandria database.

Summary:
N(E_F): 11.20 states/eV/f.u.
Total magnetization: 0.0 μB/f.u.

a b c (Å): 21.121 9.348 6.436
angles (deg): 90.00 107.70 90.00
Space group C2/c (No. 15)
Symmetry-distinct sites (fractional):
Tb 0.250 0.077 0.080
Pr 0.079 0.072 0.719
Pr 0.079 0.428 0.940
Pr 0.168 0.250 0.419
In 0.000 0.249 0.250

=====

Which is most stable, and by how much? model A, by 1.6 kJ/mol of atoms.

=====

Model A:
First-principles (GGA-PBE) data for a geometry-optimized TbPr5In4 structure, as listed in the Alexandria database.

Summary:
N(E_F): 10.09 states/eV/f.u.
Total magnetization: 0.0 μB/f.u.

a b c (Å): 8.462 9.230 8.836
angles (deg): 90.00 90.00 90.00
Space group Pmmn (No. 59, origin choice 2)
Symmetry-distinct sites (fractional):
Tb 0.250 0.250 0.085
Pr 0.003 0.055 0.734
Pr 0.250 0.750 0.654
In 0.090 0.250 0.437
In 0.250 0.589 0.989

=====

Model B:
First-principles (GGA-PBE) data for a geometry-optimized TbPr5In4 structure, as listed in the Alexandria database.

Summary:
N(E_F): 10.21 states/eV/f.u.
Total magnetization: 0.0 μB/f.u.

a b c (Å): 3.668 3.668 22.785
angles (deg): 90.00 90.00 90.00
Space group P4/mmm (No. 123)
Symmetry-distinct sites (fractional):
Tb 0.000 0.000 0.000
Pr 0.500 0.500 0.115
Pr 0.500 0.500 0.307
Pr 0.500 0.500 0.500
In 0.000 0.000 0.210
In 0.000 0.000 0.403

=====

Which is most stable, and by how much? model B, by 24.3 kJ/mol of atoms.

=====

Model A:
First-principles (GGA-PBE) data for a geometry-optimized Tb4Pr2In structure, as listed in the Alexandria database.

Summary:
N(E_F): 10.81 states/eV/f.u.
Total magnetization: 0.0 μB/f.u.

a b c (Å): 3.6463 3.6463 59.3498
angles (deg): 90.00 90.00 120.00
Space group R-3m (No. 166, hexagonal axes)
Symmetry-distinct sites (fractional):
Tb 0.0000 0.0000 0.0904
Tb 0.0000 0.0000 0.2913
Pr 0.0000 0.0000 0.1932
In 0.0000 0.0000 0.0000

=====

Model B:
First-principles (GGA-PBE) data for a geometry-optimized Tb4Pr2In structure, as listed in the Alexandria database.

Summary:
N(E_F): 8.85 states/eV/f.u.
Total magnetization: 0.0 μB/f.u.

a b c (Å): 6.328 10.820 6.559
angles (deg): 90.00 90.07 90.00
Space group P2_1/c (No. 14)
Symmetry-distinct sites (fractional):
Tb 0.069 0.154 0.499
Tb 0.396 0.750 0.250
Pr 0.244 0.044 0.999
In 0.500 0.000 0.500

=====

Which is most stable, and by how much? model A, by 1.1 kJ/mol of atoms.

=====

Model A:
First-principles (GGA-PBE) data for a geometry-optimized TbPrIn structure, as listed in the Alexandria database.

Summary:
N(E_F): 2.03 states/eV/f.u.
Total magnetization: 0.0 μB/f.u.

a b c (Å): 5.3168 5.3168 3.7454
angles (deg): 90.00 90.00 120.00
Space group P3m1 (No. 156)
Symmetry-distinct sites (fractional):
Tb 0.0000 0.0000 0.0000
Pr 0.6667 0.3333 0.5567
In 0.3333 0.6667 0.1959

=====

Model B:
First-principles (GGA-PBE) data for a geometry-optimized TbPrIn structure, as listed in the Alexandria database.

Summary:
N(E_F): 2.77 states/eV/f.u.
Total magnetization: 0.0 μB/f.u.

a b c (Å): 3.629 3.629 14.001
angles (deg): 90.00 90.00 90.00
Space group I4mm (No. 107)
Symmetry-distinct sites (fractional):
Tb 0.000 0.000 0.000
Pr 0.000 0.000 0.693
In 0.000 0.000 0.354

=====

Which is most stable, and by how much? model B, by 5.0 kJ/mol of atoms.

=====

Model A:
First-principles (GGA-PBE) data for a geometry-optimized Tb7Pr12In structure, as listed in the Alexandria database.

Summary:
N(E_F): 36.08 states/eV/f.u.
Total magnetization: 0.0 μB/f.u.

a b c (Å): 11.704 11.704 11.704
angles (deg): 90.00 90.00 90.00
Space group Im-3m (No. 229)
Symmetry-distinct sites (fractional):
Tb 0.000 0.000 0.500
Tb 0.250 0.250 0.250
Pr 0.000 0.220 0.220
In 0.000 0.000 0.000

=====

Model B:
First-principles (GGA-PBE) data for a geometry-optimized Tb7Pr12In structure, as listed in the Alexandria database.

Summary:
N(E_F): 32.41 states/eV/f.u.
Total magnetization: 0.0 μB/f.u.

a b c (Å): 12.4149 12.4149 15.4677
angles (deg): 90.00 90.00 120.00
Space group R-3 (No. 148, hexagonal axes)
Symmetry-distinct sites (fractional):
Tb 0.0000 0.0000 0.0000
Tb 0.0507 0.8670 0.3050
Pr 0.0274 0.5811 0.2103
Pr 0.0589 0.4688 0.5841
In 0.0000 0.0000 0.5000

=====

Which is most stable, and by how much? model B, by 47.5 kJ/mol of atoms.

=====

Model A:
First-principles (GGA-PBE) data for a geometry-optimized Tb2PrIn2 structure, as listed in the Alexandria database.

Summary:
N(E_F): 6.60 states/eV/f.u.
Total magnetization: 0.0 μB/f.u.

a b c (Å): 4.635 4.635 29.385
angles (deg): 90.00 90.00 90.00
Space group I4/mmm (No. 139)
Symmetry-distinct sites (fractional):
Tb 0.000 0.000 0.073
Tb 0.000 0.500 0.250
Pr 0.000 0.000 0.366
In 0.000 0.000 0.175
In 0.000 0.500 0.000

=====

Model B:
First-principles (GGA-PBE) data for a geometry-optimized Tb2PrIn2 structure, as listed in the Alexandria database.

Summary:
N(E_F): 4.51 states/eV/f.u.
Total magnetization: 0.0 μB/f.u.

a b c (Å): 3.805 28.161 5.456
angles (deg): 90.00 90.00 90.00
Space group Cmcm (No. 63)
Symmetry-distinct sites (fractional):
Tb 0.000 0.049 0.250
Tb 0.000 0.236 0.250
Pr 0.000 0.148 0.750
In 0.000 0.357 0.750
In 0.000 0.453 0.250

=====

Which is most stable, and by how much? model B, by 21.0 kJ/mol of atoms.

=====

Model A:
First-principles (GGA-PBE) data for a geometry-optimized Tb5Pr4In structure, as listed in the Alexandria database.

Summary:
N(E_F): 16.01 states/eV/f.u.
Total magnetization: 0.0 μB/f.u.

a b c (Å): 4.196 4.196 18.422
angles (deg): 90.00 90.00 90.00
Space group P4/mmm (No. 123)
Symmetry-distinct sites (fractional):
Tb 0.000 0.000 0.000
Tb 0.000 0.000 0.209
Tb 0.000 0.000 0.413
Pr 0.500 0.500 0.103
Pr 0.500 0.500 0.305
In 0.500 0.500 0.500

=====

Model B:
First-principles (GGA-PBE) data for a geometry-optimized Tb5Pr4In structure, as listed in the Alexandria database.

Summary:
N(E_F): 13.70 states/eV/f.u.
Total magnetization: 0.0 μB/f.u.

a b c (Å): 10.816 10.816 5.895
angles (deg): 90.00 90.00 90.00
Space group I4mm (No. 107)
Symmetry-distinct sites (fractional):
Tb 0.000 0.000 0.000
Tb 0.184 0.184 0.709
Pr 0.000 0.310 0.205
In 0.000 0.000 0.484

=====

Which is most stable, and by how much? model A, by 6.0 kJ/mol of atoms.

=====

Model A:
First-principles (GGA-PBE) data for a geometry-optimized Tb2Pr3In structure, as listed in the Alexandria database.

Summary:
N(E_F): 7.36 states/eV/f.u.
Total magnetization: 0.0 μB/f.u.

a b c (Å): 5.032 15.419 4.963
angles (deg): 90.00 90.00 90.00
Space group Cmmm (No. 65)
Symmetry-distinct sites (fractional):
Tb 0.000 0.162 0.000
Pr 0.000 0.000 0.500
Pr 0.000 0.332 0.500
In 0.000 0.500 0.000

=====

Model B:
First-principles (GGA-PBE) data for a geometry-optimized Tb2Pr3In structure, as listed in the Alexandria database.

Summary:
N(E_F): 7.95 states/eV/f.u.
Total magnetization: 0.0 μB/f.u.

a b c (Å): 8.832 3.761 11.775
angles (deg): 90.00 90.57 90.00
Space group P2_1/m (No. 11)
Symmetry-distinct sites (fractional):
Tb 0.082 0.250 0.392
Tb 0.356 0.750 0.929
Pr 0.096 0.250 0.103
Pr 0.343 0.750 0.571
Pr 0.395 0.750 0.250
In 0.161 0.250 0.758

=====

Which is most stable, and by how much? model A, by 2.5 kJ/mol of atoms.